NaLa2Cl: relaxed, PBE-GGA.

Output
The value obtained for the uncorrected energy is -3.67 eV/atom. For the calculated density, the calculation gives 4.0 g cm⁻³.

Cell and atoms, written as CIF:
```
data_NaLa2Cl
_chemical_formula_sum 'Na2 La4 Cl2'
_space_group_name_H-M_alt 'P 1'
_space_group_IT_number 1
_cell_length_a 7.299
_cell_length_b 7.299
_cell_length_c 7.299
_cell_angle_alpha 102.29
_cell_angle_beta 102.29
_cell_angle_gamma 125.04
loop_
_space_group_symop_operation_xyz
'x,y,z'
loop_
_atom_site_label
_atom_site_type_symbol
_atom_site_fract_x
_atom_site_fract_y
_atom_site_fract_z
Na1 Na 0.000 0.000 0.000
Na2 Na 0.750 0.250 0.500
La1 La 0.213 0.625 0.088
La2 La 0.375 0.463 0.588
La3 La 0.537 0.125 0.912
La4 La 0.875 0.787 0.412
Cl1 Cl 0.250 0.750 0.500
Cl2 Cl 0.500 0.500 0.000
```



NaLaCl: relaxed, PBE-GGA.

Output
The value obtained for the uncorrected energy is -3.79 eV/atom. For the calculated density, the calculation gives 3.7 g cm⁻³.

Cell and atoms, written as CIF:
```
data_NaLaCl
_chemical_formula_sum 'Na2 La2 Cl2'
_space_group_name_H-M_alt 'P 1'
_space_group_IT_number 1
_cell_length_a 3.832
_cell_length_b 3.832
_cell_length_c 13.949
_cell_angle_alpha 97.73
_cell_angle_beta 97.73
_cell_angle_gamma 60.08
loop_
_space_group_symop_operation_xyz
'x,y,z'
loop_
_atom_site_label
_atom_site_type_symbol
_atom_site_fract_x
_atom_site_fract_y
_atom_site_fract_z
Na1 Na 0.000 0.000 0.000
Na2 Na 0.749 0.749 0.251
La1 La 0.238 0.238 0.709
La2 La 0.499 0.499 0.494
Cl1 Cl 0.372 0.372 0.118
Cl2 Cl 0.624 0.624 0.870
```



NaLa2Cl: relaxed, PBE-GGA.

Output
The value obtained for the uncorrected energy is -3.79 eV/atom. For the calculated density, the calculation gives 4.2 g cm⁻³.

Cell and atoms, written as CIF:
```
data_NaLa2Cl
_chemical_formula_sum 'Na1 La2 Cl1'
_space_group_name_H-M_alt 'P 1'
_space_group_IT_number 1
_cell_length_a 12.081
_cell_length_b 12.081
_cell_length_c 12.081
_cell_angle_alpha 17.18
_cell_angle_beta 17.18
_cell_angle_gamma 17.18
loop_
_space_group_symop_operation_xyz
'x,y,z'
loop_
_atom_site_label
_atom_site_type_symbol
_atom_site_fract_x
_atom_site_fract_y
_atom_site_fract_z
Na1 Na 0.000 0.000 0.000
La1 La 0.103 0.103 0.103
La2 La 0.897 0.897 0.897
Cl1 Cl 0.500 0.500 0.500
```



NaLa2Cl6: relaxed, PBE-GGA.

Output
The value obtained for the uncorrected energy is -4.52 eV/atom. For the calculated density, the calculation gives 3.3 g cm⁻³.

Cell and atoms, written as CIF:
```
data_NaLa2Cl6
_chemical_formula_sum 'Na1 La2 Cl6'
_space_group_name_H-M_alt 'P 1'
_space_group_IT_number 1
_cell_length_a 10.185
_cell_length_b 8.035
_cell_length_c 7.209
_cell_angle_alpha 83.66
_cell_angle_beta 51.64
_cell_angle_gamma 44.70
loop_
_space_group_symop_operation_xyz
'x,y,z'
loop_
_atom_site_label
_atom_site_type_symbol
_atom_site_fract_x
_atom_site_fract_y
_atom_site_fract_z
Na1 Na 0.000 0.000 0.000
La1 La 0.338 0.338 0.662
La2 La 0.662 0.662 0.338
Cl1 Cl 0.054 0.290 0.710
Cl2 Cl 0.290 0.054 0.946
Cl3 Cl 0.381 0.619 0.381
Cl4 Cl 0.619 0.381 0.619
Cl5 Cl 0.710 0.946 0.054
Cl6 Cl 0.946 0.710 0.290
```



NaLaCl2: relaxed, PBE-GGA.

Output
The value obtained for the uncorrected energy is -4.09 eV/atom. For the calculated density, the calculation gives 3.9 g cm⁻³.

Cell and atoms, written as CIF:
```
data_NaLaCl2
_chemical_formula_sum 'Na1 La1 Cl2'
_space_group_name_H-M_alt 'P 1'
_space_group_IT_number 1
_cell_length_a 8.265
_cell_length_b 8.265
_cell_length_c 8.265
_cell_angle_alpha 26.43
_cell_angle_beta 26.43
_cell_angle_gamma 26.43
loop_
_space_group_symop_operation_xyz
'x,y,z'
loop_
_atom_site_label
_atom_site_type_symbol
_atom_site_fract_x
_atom_site_fract_y
_atom_site_fract_z
Na1 Na 0.000 0.000 0.000
La1 La 0.832 0.832 0.832
Cl1 Cl 0.405 0.405 0.405
Cl2 Cl 0.593 0.593 0.593
```



Na2LaCl6: relaxed, PBE-GGA.

Output
The value obtained for the uncorrected energy is -3.81 eV/atom. For the calculated density, the calculation gives 2.4 g cm⁻³.

Cell and atoms, written as CIF:
```
data_Na2LaCl6
_chemical_formula_sum 'Na2 La1 Cl6'
_space_group_name_H-M_alt 'P 1'
_space_group_IT_number 1
_cell_length_a 7.776
_cell_length_b 7.776
_cell_length_c 9.155
_cell_angle_alpha 122.97
_cell_angle_beta 122.97
_cell_angle_gamma 36.78
loop_
_space_group_symop_operation_xyz
'x,y,z'
loop_
_atom_site_label
_atom_site_type_symbol
_atom_site_fract_x
_atom_site_fract_y
_atom_site_fract_z
Na1 Na 0.173 0.173 0.105
Na2 Na 0.827 0.827 0.895
La1 La 0.000 0.000 0.500
Cl1 Cl 0.036 0.036 0.224
Cl2 Cl 0.220 0.220 0.830
Cl3 Cl 0.380 0.380 0.479
Cl4 Cl 0.620 0.620 0.521
Cl5 Cl 0.780 0.780 0.170
Cl6 Cl 0.964 0.964 0.776
```



Na2LaCl: relaxed, PBE-GGA.

Output
The value obtained for the uncorrected energy is -2.79 eV/atom. For the calculated density, the calculation gives 2.7 g cm⁻³.

Cell and atoms, written as CIF:
```
data_Na2LaCl
_chemical_formula_sum 'Na4 La2 Cl2'
_space_group_name_H-M_alt 'P 1'
_space_group_IT_number 1
_cell_length_a 7.358
_cell_length_b 7.358
_cell_length_c 7.358
_cell_angle_alpha 99.14
_cell_angle_beta 99.14
_cell_angle_gamma 133.02
loop_
_space_group_symop_operation_xyz
'x,y,z'
loop_
_atom_site_label
_atom_site_type_symbol
_atom_site_fract_x
_atom_site_fract_y
_atom_site_fract_z
Na1 Na 0.056 0.625 0.931
Na2 Na 0.375 0.306 0.431
Na3 Na 0.694 0.125 0.069
Na4 Na 0.875 0.944 0.569
La1 La 0.250 0.750 0.500
La2 La 0.500 0.500 0.000
Cl1 Cl 0.000 0.000 0.000
Cl2 Cl 0.750 0.250 0.500
```



NaLaCl: relaxed, PBE-GGA.

Output
The value obtained for the uncorrected energy is -3.73 eV/atom. For the calculated density, the calculation gives 3.5 g cm⁻³.

Cell and atoms, written as CIF:
```
data_NaLaCl
_chemical_formula_sum 'Na2 La2 Cl2'
_space_group_name_H-M_alt 'P 1'
_space_group_IT_number 1
_cell_length_a 4.024
_cell_length_b 4.024
_cell_length_c 11.424
_cell_angle_alpha 90.00
_cell_angle_beta 90.00
_cell_angle_gamma 90.00
loop_
_space_group_symop_operation_xyz
'x,y,z'
loop_
_atom_site_label
_atom_site_type_symbol
_atom_site_fract_x
_atom_site_fract_y
_atom_site_fract_z
Na1 Na 0.000 0.000 0.000
Na2 Na 0.500 0.500 0.225
La1 La 0.000 0.000 0.458
La2 La 0.500 0.500 0.679
Cl1 Cl 0.000 0.000 0.730
Cl2 Cl 0.500 0.500 0.949
```



NaLaCl2: relaxed, PBE-GGA.

Output
The value obtained for the uncorrected energy is -4.02 eV/atom. For the calculated density, the calculation gives 3.1 g cm⁻³.

Cell and atoms, written as CIF:
```
data_NaLaCl2
_chemical_formula_sum 'Na1 La1 Cl2'
_space_group_name_H-M_alt 'P 1'
_space_group_IT_number 1
_cell_length_a 8.989
_cell_length_b 8.989
_cell_length_c 8.989
_cell_angle_alpha 26.02
_cell_angle_beta 26.02
_cell_angle_gamma 26.02
loop_
_space_group_symop_operation_xyz
'x,y,z'
loop_
_atom_site_label
_atom_site_type_symbol
_atom_site_fract_x
_atom_site_fract_y
_atom_site_fract_z
Na1 Na 0.000 0.000 0.000
La1 La 0.500 0.500 0.500
Cl1 Cl 0.393 0.393 0.393
Cl2 Cl 0.607 0.607 0.607
```



NaLaCl: relaxed, PBE-GGA.

Output
The value obtained for the uncorrected energy is -3.79 eV/atom. For the calculated density, the calculation gives 3.7 g cm⁻³.

Cell and atoms, written as CIF:
```
data_NaLaCl
_chemical_formula_sum 'Na2 La2 Cl2'
_space_group_name_H-M_alt 'P 1'
_space_group_IT_number 1
_cell_length_a 3.824
_cell_length_b 3.824
_cell_length_c 14.034
_cell_angle_alpha 97.85
_cell_angle_beta 97.85
_cell_angle_gamma 60.10
loop_
_space_group_symop_operation_xyz
'x,y,z'
loop_
_atom_site_label
_atom_site_type_symbol
_atom_site_fract_x
_atom_site_fract_y
_atom_site_fract_z
Na1 Na 0.000 0.000 0.000
Na2 Na 0.583 0.583 0.750
La1 La 0.100 0.100 0.293
La2 La 0.840 0.840 0.507
Cl1 Cl 0.294 0.294 0.883
Cl2 Cl 0.712 0.712 0.133
```



NaLa2NiCl: relaxed, PBE-GGA.

Output
The value obtained for the uncorrected energy is -3.97 eV/atom. For the calculated density, the calculation gives 4.8 g cm⁻³.

Cell and atoms, written as CIF:
```
data_NaLa2NiCl
_chemical_formula_sum 'Na1 La2 Ni1 Cl1'
_space_group_name_H-M_alt 'P 1'
_space_group_IT_number 1
_cell_length_a 5.599
_cell_length_b 5.599
_cell_length_c 4.327
_cell_angle_alpha 90.00
_cell_angle_beta 90.00
_cell_angle_gamma 90.00
loop_
_space_group_symop_operation_xyz
'x,y,z'
loop_
_atom_site_label
_atom_site_type_symbol
_atom_site_fract_x
_atom_site_fract_y
_atom_site_fract_z
Na1 Na 0.000 0.000 0.000
La1 La 0.000 0.500 0.500
La2 La 0.500 0.000 0.500
Ni1 Ni 0.500 0.500 0.000
Cl1 Cl 0.500 0.500 0.500
```



NaLa2ClO: relaxed, PBE-GGA.

Output
The value obtained for the uncorrected energy is -4.96 eV/atom. For the calculated density, the calculation gives 3.9 g cm⁻³.

Cell and atoms, written as CIF:
```
data_NaLa2ClO
_chemical_formula_sum 'Na1 La2 Cl1 O1'
_space_group_name_H-M_alt 'P 1'
_space_group_IT_number 1
_cell_length_a 4.786
_cell_length_b 4.786
_cell_length_c 6.477
_cell_angle_alpha 90.00
_cell_angle_beta 90.00
_cell_angle_gamma 90.00
loop_
_space_group_symop_operation_xyz
'x,y,z'
loop_
_atom_site_label
_atom_site_type_symbol
_atom_site_fract_x
_atom_site_fract_y
_atom_site_fract_z
Na1 Na 0.000 0.000 0.000
La1 La 0.000 0.500 0.500
La2 La 0.500 0.000 0.500
Cl1 Cl 0.500 0.500 0.000
O1 O 0.500 0.500 0.500
```



Copy entry 4 word for word.
NaLa2Cl6: relaxed, PBE-GGA.

Output
The value obtained for the uncorrected energy is -4.52 eV/atom. For the calculated density, the calculation gives 3.3 g cm⁻³.

Cell and atoms, written as CIF:
```
data_NaLa2Cl6
_chemical_formula_sum 'Na1 La2 Cl6'
_space_group_name_H-M_alt 'P 1'
_space_group_IT_number 1
_cell_length_a 10.185
_cell_length_b 8.035
_cell_length_c 7.209
_cell_angle_alpha 83.66
_cell_angle_beta 51.64
_cell_angle_gamma 44.70
loop_
_space_group_symop_operation_xyz
'x,y,z'
loop_
_atom_site_label
_atom_site_type_symbol
_atom_site_fract_x
_atom_site_fract_y
_atom_site_fract_z
Na1 Na 0.000 0.000 0.000
La1 La 0.338 0.338 0.662
La2 La 0.662 0.662 0.338
Cl1 Cl 0.054 0.290 0.710
Cl2 Cl 0.290 0.054 0.946
Cl3 Cl 0.381 0.619 0.381
Cl4 Cl 0.619 0.381 0.619
Cl5 Cl 0.710 0.946 0.054
Cl6 Cl 0.946 0.710 0.290
```